*i*
Here is a geometry-optimized Zn2RhAu2 structure from Alexandria via LeMat-Bulk. Energies are from PBE-GGA.

- total moment (μB/cell) = 0.00
- N(E_F) (states/eV/cell) = 2.01

Cell: 4.7095 4.7095 4.4833 Å, 90.00 90.00 90.00°
With the nearest neighbours (Å) after each atom.
Space group P4/mmm (No. 123)
Unique sites:
Zn  0.0000  0.0000  0.0000  2 Zn 2.24
Zn  0.0000  0.0000  0.5000  2 Zn 2.24, 4 Au 2.35
Rh  0.5000  0.5000  0.0000  8 Au 3.25, 4 Zn 3.33
Au  0.0000  0.5000  0.5000  2 Zn 2.35

***

*ii*
Here is a geometry-optimized Zn2RhAu2 structure from Alexandria via LeMat-Bulk. Energies are from PBE-GGA.

- total moment (μB/cell) = 0.67
- N(E_F) (states/eV/cell) = 7.46

Cell: 7.4942 7.4942 2.9116 Å, 90.00 90.00 90.00°
With the nearest neighbours (Å) after each atom.
Space group P4/mbm (No. 127)
Unique sites:
Zn  0.1667  0.3333  0.0000  6 Au 2.56-2.70
Rh  0.0000  0.0000  0.5000  2 Rh 2.91, 4 Au 2.92, 8 Zn 3.15
Au  0.1348  0.6348  0.5000  6 Zn 2.56-2.70, 1 Au 2.86

***

Winner for stability: *ii*

***

*i*
Here is a geometry-optimized Zn2Rh2Au structure from Alexandria via LeMat-Bulk. Energies are from PBE-GGA.

- total moment (μB/cell) = 0.00
- N(E_F) (states/eV/cell) = 7.61

Cell: 7.1348 7.1348 3.0324 Å, 90.00 90.00 90.00°
With the nearest neighbours (Å) after each atom.
Space group P4/mbm (No. 127)
Unique sites:
Zn  0.1647  0.3353  0.0000  6 Rh 2.54-2.62
Rh  0.1328  0.6328  0.5000  6 Zn 2.54-2.62, 1 Rh 2.68, 2 Au 2.79
Au  0.0000  0.0000  0.5000  4 Rh 2.79, 2 Au 3.03, 8 Zn 3.07

***

*ii*
Here is a geometry-optimized Zn2Rh2Au structure from Alexandria via LeMat-Bulk. Energies are from PBE-GGA.

- total moment (μB/cell) = 0.00
- N(E_F) (states/eV/cell) = 6.87

Cell: 6.9591 6.9591 3.1003 Å, 90.00 90.00 90.00°
With the nearest neighbours (Å) after each atom.
Space group P4/mbm (No. 127)
Unique sites:
Zn  0.1332  0.3668  0.0000  6 Rh 2.53-2.59, 1 Zn 2.62, 2 Au 2.72
Rh  0.1634  0.6634  0.5000  6 Zn 2.53-2.59
Au  0.0000  0.0000  0.0000  4 Zn 2.72, 8 Rh 3.03

***

Winner for stability: *ii*

***

*i*
Here is a geometry-optimized Zn4RhAu structure from Alexandria via LeMat-Bulk. Energies are from PBE-GGA.

- total moment (μB/cell) = 0.00
- N(E_F) (states/eV/cell) = 13.43

Cell: 7.0514 7.0514 7.0514 Å, 90.00 90.00 90.00°
With the nearest neighbours (Å) after each atom.
Space group F-43m (No. 216)
Unique sites:
Zn  0.1254  0.1254  0.1254  6 Zn 2.49-2.50
Rh  0.0000  0.0000  0.5000  12 Zn 2.92, 4 Au 3.05
Au  0.2500  0.2500  0.7500  12 Zn 2.92, 4 Rh 3.05

***

*ii*
Here is a geometry-optimized Zn4RhAu structure from Alexandria via LeMat-Bulk. Energies are from PBE-GGA.

- total moment (μB/cell) = 0.00
- N(E_F) (states/eV/cell) = 2.99

Cell: 5.8261 5.9730 6.2610 Å, 90.00 90.00 90.00°
With the nearest neighbours (Å) after each atom.
Space group Cmmm (No. 65)
Unique sites:
Zn  0.2500  0.2500  0.2311  2 Rh 2.54, 2 Au 2.68
Rh  0.0000  0.0000  0.0000  8 Zn 2.54
Au  0.0000  0.5000  0.5000  8 Zn 2.68

***

Winner for stability: *ii*

***

*i*
Here is a geometry-optimized Zn8Rh2Au structure from Alexandria via LeMat-Bulk. Energies are from PBE-GGA.

- total moment (μB/cell) = 0.00
- N(E_F) (states/eV/cell) = 3.80

Cell: 6.3720 4.2577 6.5416 Å, 90.00 104.81 90.00°
With the nearest neighbours (Å) after each atom.
Space group P2/m (No. 10)
Unique sites:
Zn  0.0455  0.0000  0.3095  2 Rh 2.60-2.80, 7 Zn 2.70-2.83, 2 Au 2.90
Zn  0.2218  0.5000  0.7162  2 Rh 2.45, 1 Au 2.60, 2 Zn 2.70
Zn  0.3046  0.0000  0.0250  2 Rh 2.59-2.69, 7 Zn 2.59-2.90, 2 Au 2.86
Zn  0.3443  0.5000  0.3332  4 Zn 2.55-2.83, 1 Au 2.67, 2 Rh 2.75
Rh  0.3765  0.0000  0.6379  5 Zn 2.45-2.69, 1 Rh 2.68
Au  0.0000  0.5000  0.0000  12 Zn 2.60-2.90

***

*ii*
Here is a geometry-optimized Zn8Rh2Au structure from Alexandria via LeMat-Bulk. Energies are from PBE-GGA.

- total moment (μB/cell) = 0.00
- N(E_F) (states/eV/cell) = 4.79

Cell: 13.5224 4.0238 6.5487 Å, 90.00 113.99 90.00°
With the nearest neighbours (Å) after each atom.
Space group C2/m (No. 12)
Unique sites:
Zn  0.0423  0.0000  0.2238  1 Rh 2.62, 7 Zn 2.68-2.90, 2 Au 2.91
Zn  0.1068  0.5000  0.9519  3 Rh 2.55-2.70, 5 Zn 2.69-2.75, 1 Au 2.71
Zn  0.1452  0.0000  0.7077  3 Rh 2.61-2.69, 5 Zn 2.69-2.90, 2 Au 2.75
Zn  0.1832  0.5000  0.4005  3 Rh 2.66-2.74, 6 Zn 2.66-2.69, 1 Au 2.81
Rh  0.2202  0.0000  0.1558  10 Zn 2.55-2.74
Au  0.0000  0.5000  0.5000  12 Zn 2.71-2.91

***

Winner for stability: *ii*

***

*i*
Here is a geometry-optimized ZrRh3Au structure from Alexandria via LeMat-Bulk. Energies are from PBE-GGA.

- total moment (μB/cell) = 0.00
- N(E_F) (states/eV/cell) = 8.55

Cell: 4.7896 4.7896 4.7896 Å, 90.00 90.00 90.00°
With the nearest neighbours (Å) after each atom.
Space group Pm-3m (No. 221)
Unique sites:
Zr  0.0000  0.0000  0.0000  12 Rh 3.39
Rh  0.0000  0.5000  0.5000  2 Au 2.39
Au  0.5000  0.5000  0.5000  6 Rh 2.39

***

*ii*
Here is a geometry-optimized ZrRh3Au structure from Alexandria via LeMat-Bulk. Energies are from PBE-GGA.

- total moment (μB/cell) = 0.00
- N(E_F) (states/eV/cell) = 4.80

Cell: 4.7597 4.7597 4.7597 Å, 90.00 90.00 90.00°
With the nearest neighbours (Å) after each atom.
Space group Pm-3m (No. 221)
Unique sites:
Zr  0.0000  0.0000  0.0000  6 Rh 2.38
Rh  0.0000  0.0000  0.5000  2 Zr 2.38
Au  0.5000  0.5000  0.5000  12 Rh 3.37

***

Winner for stability: *ii*

***

*i*
Here is a geometry-optimized Zr2Rh2Au structure from Alexandria via LeMat-Bulk. Energies are from PBE-GGA.

- total moment (μB/cell) = 0.00
- N(E_F) (states/eV/cell) = 7.90

Cell: 7.4279 7.4279 3.3312 Å, 90.00 90.00 90.00°
With the nearest neighbours (Å) after each atom.
Space group P4/mbm (No. 127)
Unique sites:
Zr  0.1662  0.3338  0.0000  6 Rh 2.67-2.80
Rh  0.1353  0.6353  0.5000  6 Zr 2.67-2.80, 1 Rh 2.84, 2 Au 2.89
Au  0.0000  0.0000  0.5000  4 Rh 2.89, 8 Zr 3.23

***

*ii*
Here is a geometry-optimized Zr2Rh2Au structure from Alexandria via LeMat-Bulk. Energies are from PBE-GGA.

- total moment (μB/cell) = 0.00
- N(E_F) (states/eV/cell) = 6.01

Cell: 7.7786 7.7786 3.1335 Å, 90.00 90.00 90.00°
With the nearest neighbours (Å) after each atom.
Space group P4/mbm (No. 127)
Unique sites:
Zr  0.1550  0.3450  0.0000  6 Rh 2.77, 2 Au 2.94
Rh  0.1377  0.6377  0.5000  6 Zr 2.77, 1 Rh 3.03
Au  0.0000  0.0000  0.0000  4 Zr 2.94, 2 Au 3.13

***

Winner for stability: *i*